A crystal of KY2Ni relaxed with PBEsol, computed with SCAN.

```
KY2Ni
1.0
3.7646 0.0000 0.0000
0.0000 3.7646 0.0000
0.0000 0.0000 9.1591
K Y Ni
1 2 1
Direct
0.0000 0.0000 0.0000
0.0000 0.0000 0.3864
0.5000 0.5000 0.6360
0.5000 0.5000 0.3464
```

Computed properties:
uncorrected energy = -79.7 eV/f.u.
symmetry = P4mm

***

A crystal of KZnNi relaxed with PBEsol, computed with SCAN.

```
KZnNi
1.0
4.0395 0.0000 0.0000
-2.0198 3.4983 0.0000
0.0000 0.0000 5.0110
K Zn Ni
1 1 1
Direct
0.0000 0.0000 0.0000
0.6667 0.3333 0.5000
0.3333 0.6667 0.5000
```

Computed properties:
uncorrected energy = -36.9 eV/f.u.
symmetry = P-6m2

***

A crystal of KZrNi2 relaxed with PBEsol, computed with SCAN.

```
KZrNi2
1.0
0.0000 3.2671 3.2671
3.2671 0.0000 3.2671
3.2671 3.2671 0.0000
K Zr Ni
1 1 2
Direct
0.0000 0.0000 0.0000
0.5000 0.5000 0.5000
0.2500 0.2500 0.2500
0.7500 0.7500 0.7500
```

Computed properties:
uncorrected energy = -68.7 eV/f.u.
symmetry = Fm-3m

***

A crystal of K2ZrNi relaxed with PBEsol, computed with SCAN.

```
K2ZrNi
1.0
1.5466 0.8929 11.9139
-1.5466 0.8929 11.9139
0.0000 -1.7859 11.9139
K Zr Ni
2 1 1
Direct
0.2363 0.2363 0.2363
0.7637 0.7637 0.7637
0.0000 0.0000 0.0000
0.5000 0.5000 0.5000
```

Computed properties:
uncorrected energy = -59.5 eV/f.u.
symmetry = R-3m

***

A crystal of KZrNi2 relaxed with PBEsol, computed with SCAN.

```
KZrNi2
1.0
-1.3659 2.4516 5.2496
1.3659 -2.4516 5.2496
1.3659 2.4516 -5.2496
K Zr Ni
1 1 2
Direct
0.0000 0.0000 0.0000
0.3006 0.8006 0.5000
0.5331 0.5331 0.0000
0.7217 0.2217 0.5000
```

Computed properties:
uncorrected energy = -69.1 eV/f.u.
symmetry = Imm2

***

A crystal of KZrNi2 relaxed with PBEsol, computed with SCAN.

```
KZrNi2
1.0
-1.9377 1.9377 4.5635
1.9377 -1.9377 4.5635
1.9377 1.9377 -4.5635
K Zr Ni
1 1 2
Direct
0.0000 0.0000 0.0000
0.2500 0.7500 0.5000
0.5000 0.5000 0.0000
0.7500 0.2500 0.5000
```

Computed properties:
uncorrected energy = -68.1 eV/f.u.
symmetry = I-4m2

***

A crystal of KZrNi2 relaxed with PBEsol, computed with SCAN.

```
KZrNi2
1.0
3.2247 0.0000 0.0000
0.0000 3.2244 0.0000
-0.0102 0.0000 7.6655
K Zr Ni
1 1 2
Direct
0.0000 0.0000 0.0000
0.0000 0.0000 0.5000
0.4993 0.5000 0.3290
0.5007 0.5000 0.6710
```

Computed properties:
uncorrected energy = -71.0 eV/f.u.
symmetry = P2/m

***

A crystal of K2NpO4 relaxed with PBEsol, computed with SCAN.

```
K2NpO4
1.0
-2.1384 2.1384 6.5741
2.1384 -2.1384 6.5741
2.1384 2.1384 -6.5741
K Np O
2 1 4
Direct
0.1506 0.1506 0.0000
0.8494 0.8494 0.0000
0.5000 0.5000 0.0000
0.0000 0.5000 0.5000
0.3542 0.3542 0.0000
0.5000 0.0000 0.5000
0.6458 0.6458 0.0000
```

Computed properties:
symmetry = I4/mmm
formation energy without anion corrections = -2.6842 eV per atom